# 1
Material: TaMoIr2Pt
Method: DFT, GGA-PBE
State: relaxed

Results
* SG: P4/mmm, No. 123
* calculated volume: 102.84 Å³/cell
* formation energy from the elements: 150 kJ/mol of atoms

abc: 4.649 4.757 4.649
angles: 90.00 90.00 90.00
Fractional positions:
Ta 0.500 0.500 0.500
Ir 0.500 0.000 0.000
Ir 0.000 0.000 0.500
Mo 0.000 0.000 0.000
Pt 0.000 0.500 0.000



# 2
Material: CaTiRe2
Method: DFT, GGA-PBE
State: relaxed

Results
* SG: I-42d, No. 122
* calculated volume: 194.29 Å³/cell
* E above lowest polymorph: 34.1 kJ/mol of atoms
* formation energy from the elements: 96 kJ/mol of atoms

abc: 4.679 4.679 9.470
angles: 75.70 75.70 90.00
Fractional positions:
Ca 0.500 0.500 0.000
Re 0.375 0.195 0.750
Ti 0.000 0.000 0.000
Re 0.805 0.125 0.250
Re 0.875 0.055 0.750
Ca 0.250 0.750 0.500
Re 0.945 0.625 0.250
Ti 0.750 0.250 0.500



Please write out number 1 again, unchanged.
Material: TaMoIr2Pt
Method: DFT, GGA-PBE
State: relaxed

Results
* SG: P4/mmm, No. 123
* calculated volume: 102.84 Å³/cell
* formation energy from the elements: 150 kJ/mol of atoms

abc: 4.649 4.757 4.649
angles: 90.00 90.00 90.00
Fractional positions:
Ta 0.500 0.500 0.500
Ir 0.500 0.000 0.000
Ir 0.000 0.000 0.500
Mo 0.000 0.000 0.000
Pt 0.000 0.500 0.000



Among the records above, which one has the lowest formation energy from the elements?
CaTiRe2



The highest formation energy from the elements belongs to which entry?
TaMoIr2Pt